# 1
Density functional theory data (PBE) for RbBaNa6 after structural relaxation.

The space group is Amm2 (No. 38) and the conventional cell measures 6.401, 8.395 and 14.113 Å, with angles of 90.00, 90.00 and 90.00 degrees. Symmetry generates all atoms from Rb at (0.000, 0.000, 0.000), Ba at (0.500, 0.000, 0.684), Na at (0.000, 0.000, 0.501), Na at (0.000, 0.220, 0.262), Na at (0.500, 0.000, 0.189) and Na at (0.500, 0.213, 0.419).

For the energy of formation, the calculation gives 47 meV per atom.

=====

# 2
Density functional theory data (PBE) for Cs4CuHg2As2 after structural relaxation.

The space group is C2/m (No. 12) and the conventional cell measures 12.398, 9.643 and 6.400 Å, with angles of 90.00, 92.82 and 90.00 degrees. Symmetry generates all atoms from Cs at (0.118, 0.249, 0.302), Cu at (0.000, 0.500, 0.000), Hg at (0.162, 0.000, 0.857) and As at (0.157, 0.500, 0.823).

For the energy of formation, the calculation gives -243 meV per atom.

=====

# 3
Density functional theory data (PBE) for LaReOs3 after structural relaxation.

The space group is Pm-3m (No. 221) and the conventional cell measures 4.709, 4.709 and 4.709 Å, with angles of 90.00, 90.00 and 90.00 degrees. Symmetry generates all atoms from La at (0.000, 0.000, 0.000), Re at (0.500, 0.500, 0.500) and Os at (0.000, 0.000, 0.500).

For the energy of formation, the calculation gives 3383 meV per atom. The calculation puts the offset from the most stable computed form at 2.2651 eV per atom.

=====

# 4
Density functional theory data (PBE) for Tb2NdTl2 after structural relaxation.

The space group is P-3m1 (No. 164) and the conventional cell measures 5.3468, 5.3468 and 6.5353 Å, with angles of 90.00, 90.00 and 120.00 degrees. Symmetry generates all atoms from Tb at (0.3333, 0.6667, 0.1677), Nd at (0.0000, 0.0000, 0.5000) and Tl at (0.3333, 0.6667, 0.6900).

For the energy of formation, the calculation gives -142 meV per atom. The calculation puts the offset from the most stable computed form at 0.0000 eV per atom.

=====

# 5
Density functional theory data (PBE) for ErBr2F after structural relaxation.

The space group is Immm (No. 71) and the conventional cell measures 4.076, 4.313 and 14.651 Å, with angles of 90.00, 90.00 and 90.00 degrees. Symmetry generates all atoms from Er at (0.000, 0.000, 0.000), Br at (0.000, 0.500, 0.369) and F at (0.000, 0.500, 0.000).

The calculation puts the offset from the most stable computed form at 0.0000 eV per atom. The value obtained for the uncorrected formation energy is -2.64 eV/atom.

=====

# 6
Density functional theory data (PBE) for SmUSe4 after structural relaxation.

The space group is C2/m (No. 12) and the conventional cell measures 13.699, 4.206 and 7.227 Å, with angles of 90.00, 102.05 and 90.00 degrees. Symmetry generates all atoms from Sm at (0.000, 0.000, 0.000), U at (0.000, 0.500, 0.500), Se at (0.112, 0.000, 0.396) and Se at (0.113, 0.500, 0.858).

The calculation puts the offset from the most stable computed form at 0.0000 eV per atom. The value obtained for the uncorrected formation energy is -1.37 eV/atom.

=====

# 7
Density functional theory data (PBE) for LaSc2Te after structural relaxation.

The space group is F-43m (No. 216) and the conventional cell measures 7.542, 7.542 and 7.542 Å, with angles of 90.00, 90.00 and 90.00 degrees. Symmetry generates all atoms from La at (0.000, 0.000, 0.000), Sc at (0.000, 0.000, 0.500), Sc at (0.250, 0.250, 0.750) and Te at (0.250, 0.250, 0.250).

The value obtained for the uncorrected formation energy is -0.22 eV/atom.

=====

# 8
Density functional theory data (PBE) for K6Ag3O after structural relaxation.

The space group is R-3 (No. 148, hexagonal axes) and the conventional cell measures 14.0518, 14.0518 and 14.7539 Å, with angles of 90.00, 90.00 and 120.00 degrees. Symmetry generates all atoms from K at (0.0230, 0.1700, 0.4026), K at (0.0392, 0.1739, 0.8983), Ag at (0.0404, 0.2828, 0.6803), O at (0.0000, 0.0000, 0.0000) and O at (0.0000, 0.0000, 0.5000).

The value obtained for the uncorrected formation energy is -0.24 eV/atom.

=====

The evaluated density of states at the Fermi level for the records listed, in turn: 13.33, 15.74, 10.75, 7.35, 0.00, 8.65, 23.18, 22.84 states/eV/cell.